No. 1
DFT (PBE) results for a geometry-optimized LaTcP2 structure.

It has space group Fm-3m (No. 225), with a = 6.5821 Å, b = 6.5821 Å, c = 6.5821 Å, α = 90.00°, β = 90.00° and γ = 90.00°. Symmetry generates all atoms from La at (0.0000, 0.0000, 0.0000), Tc at (0.0000, 0.0000, 0.5000) and P at (0.2500, 0.2500, 0.2500).

For the calculated total energy, the calculation gives -6.98 eV per atom. The calculation puts the total magnetization at 0.00 μB per atom.


No. 2
DFT (PBE) results for a geometry-optimized BaTc2Os structure.

It has space group C2/m (No. 12), with a = 5.9993 Å, b = 9.0941 Å, c = 2.9132 Å, α = 90.00°, β = 111.20° and γ = 90.00°. Symmetry generates all atoms from Ba at (0.0000, 0.0000, 0.0000), Tc at (0.2500, 0.2500, 0.5000) and Os at (0.0000, 0.5000, 0.0000).

For the calculated total energy, the calculation gives -7.04 eV per atom. The calculation puts the total magnetization at 0.00 μB per atom.


- total magnetization of number 1 (LaTcP2)?
  0.00 μB per atom